ZrTlGeW2 | PBE | optimized geometry

Calculated values
**Uncorrected energy**: -7.111 eV per atom
**Formation enthalpy at 0 K**: 1.1764 eV per atom
**SG**: No. 123

abc: 4.666 4.666 5.019
angles: 90.00 90.00 90.00
Fractional coordinates of all 5 atoms:
1 Zr 0.000 0.000 0.000
2 Tl 0.500 0.500 0.000
3 Ge 0.000 0.000 0.500
4 W 0.000 0.500 0.500
5 W 0.500 0.000 0.500